1.
Density functional theory data (SCAN) for a PBEsol-optimized structure of Ag4AuBr.

a = 5.435 Å, b = 5.435 Å, c = 5.435 Å
α = 60.00°, β = 60.00°, γ = 60.00°
Sites, in units of the cell vectors:
Ag: 0.376 0.376 0.376
Br: 0.000 0.000 0.000
Ag: 0.376 0.873 0.376
Ag: 0.376 0.376 0.873
Ag: 0.873 0.376 0.376
Au: 0.750 0.750 0.750

electronic total energy = -212.398 eV per cell
raw formation energy = 0.281 eV per atom
DOS at the Fermi energy = 0.365 states/eV/atom
SG = F-43m, No. 216
crystal system = cubic

2.
Density functional theory data (SCAN) for a PBEsol-optimized structure of ZrSiW2.

a = 2.839 Å, b = 2.839 Å, c = 8.454 Å
α = 90.00°, β = 90.00°, γ = 108.50°
Sites, in units of the cell vectors:
W: 0.000 0.000 0.779
Zr: 0.500 0.500 0.500
Si: 0.500 0.500 0.000
W: 0.000 0.000 0.221

electronic total energy = -179.721 eV per cell
raw formation energy = 0.092 eV per atom
DOS at the Fermi energy = 0.497 states/eV/atom
SG = Cmmm, No. 65
crystal system = orthorhombic

3.
Density functional theory data (SCAN) for a PBEsol-optimized structure of LaCoCu2.

a = 3.798 Å, b = 4.398 Å, c = 4.793 Å
α = 117.31°, β = 113.34°, γ = 90.00°
Sites, in units of the cell vectors:
Cu: 0.990 0.990 0.980
La: 0.510 0.510 0.020
Cu: 0.738 0.238 0.477
Co: 0.262 0.762 0.524

calculated formation energy = 0.35 eV/atom
electronic total energy = -89.421 eV per cell
DOS at the Fermi energy = 0.473 states/eV/atom
SG = Imm2, No. 44
crystal system = orthorhombic

4.
Density functional theory data (SCAN) for a PBEsol-optimized structure of ScTcRh2.

a = 2.806 Å, b = 4.663 Å, c = 4.663 Å
α = 106.71°, β = 90.00°, γ = 90.00°
Sites, in units of the cell vectors:
Tc: 0.500 0.500 0.500
Rh: 0.000 0.000 0.500
Rh: 0.000 0.500 0.000
Sc: 0.500 0.000 0.000

calculated formation energy = -0.44 eV/atom
electronic total energy = -118.615 eV per cell
DOS at the Fermi energy = 0.893 states/eV/atom
SG = Cmmm, No. 65
crystal system = orthorhombic

5.
Density functional theory data (SCAN) for a PBEsol-optimized structure of LiTi2Ni2.

a = 2.781 Å, b = 7.027 Å, c = 7.027 Å
α = 90.00°, β = 90.00°, γ = 90.00°
Sites, in units of the cell vectors:
Ti: 0.500 0.163 0.663
Li: 0.000 0.500 0.500
Ti: 0.500 0.663 0.837
Ni: 0.000 0.131 0.369
Ni: 0.000 0.631 0.131
Li: 0.000 0.000 0.000
Ti: 0.500 0.337 0.163
Ni: 0.000 0.369 0.869
Ni: 0.000 0.869 0.631
Ti: 0.500 0.837 0.337

calculated formation energy = -0.28 eV/atom
electronic total energy = -136.372 eV per cell
DOS at the Fermi energy = 0.637 states/eV/atom
SG = P4/mbm, No. 127
crystal system = tetragonal

6.
Density functional theory data (SCAN) for a PBEsol-optimized structure of AlPdOF2.

a = 3.670 Å, b = 3.670 Å, c = 3.805 Å
α = 90.00°, β = 90.00°, γ = 90.00°
Sites, in units of the cell vectors:
Al: 0.000 0.000 0.000
O: 0.000 0.000 0.500
Pd: 0.500 0.500 0.500
F: 0.500 0.000 0.000
F: 0.000 0.500 0.000

electronic total energy = -64.741 eV per cell
raw formation energy = -2.181 eV per atom
DOS at the Fermi energy = 0.139 states/eV/atom
SG = P4/mmm, No. 123
crystal system = tetragonal

7.
Density functional theory data (SCAN) for a PBEsol-optimized structure of BaHgSe.

a = 5.341 Å, b = 5.341 Å, c = 5.341 Å
α = 60.00°, β = 60.00°, γ = 60.00°
Sites, in units of the cell vectors:
Ba: 0.000 0.000 0.000
Se: 0.250 0.250 0.250
Hg: 0.500 0.500 0.500

electronic total energy = -131.461 eV per cell
polymorph energy (0 for the lowest one) = 0.065 eV per atom
raw formation energy = -1.222 eV per atom
SG = F-43m, No. 216
crystal system = cubic

8.
Density functional theory data (SCAN) for a PBEsol-optimized structure of Sc3AlC.

a = 4.471 Å, b = 4.471 Å, c = 4.471 Å
α = 90.00°, β = 90.00°, γ = 90.00°
Sites, in units of the cell vectors:
Al: 0.000 0.000 0.000
C: 0.500 0.500 0.500
Sc: 0.500 0.000 0.500
Sc: 0.000 0.500 0.500
Sc: 0.500 0.500 0.000

calculated formation energy = -0.69 eV/atom
electronic total energy = -63.991 eV per cell
DOS at the Fermi energy = 0.075 states/eV/atom
SG = Pm-3m, No. 221
crystal system = cubic

9.
Density functional theory data (SCAN) for a PBEsol-optimized structure of V3Sn.

a = 4.468 Å, b = 5.567 Å, c = 5.567 Å
α = 120.00°, β = 90.00°, γ = 90.00°
Sites, in units of the cell vectors:
V: 0.750 0.700 0.850
Sn: 0.750 0.667 0.333
V: 0.250 0.850 0.150
V: 0.750 0.150 0.300
V: 0.250 0.300 0.150
Sn: 0.250 0.333 0.667
V: 0.750 0.150 0.850
V: 0.250 0.850 0.700

calculated formation energy = -0.10 eV/atom
electronic total energy = -177.549 eV per cell
DOS at the Fermi energy = 1.170 states/eV/atom
SG = P6_3/mmc, No. 194
crystal system = hexagonal

10.
Density functional theory data (SCAN) for a PBEsol-optimized structure of La2TeW.

a = 4.497 Å, b = 4.497 Å, c = 5.918 Å
α = 112.33°, β = 112.33°, γ = 90.00°
Sites, in units of the cell vectors:
La: 0.750 0.250 0.500
La: 0.000 0.000 0.000
W: 0.250 0.750 0.500
Te: 0.500 0.500 0.000

electronic total energy = -192.559 eV per cell
raw formation energy = 0.147 eV per atom
DOS at the Fermi energy = 0.820 states/eV/atom
SG = I-4m2, No. 119
crystal system = tetragonal

11.
Density functional theory data (SCAN) for a PBEsol-optimized structure of BeTcO2.

a = 2.758 Å, b = 2.758 Å, c = 6.029 Å
α = 76.78°, β = 76.78°, γ = 60.00°
Sites, in units of the cell vectors:
O: 0.912 0.912 0.265
O: 0.088 0.088 0.735
Tc: 0.500 0.500 0.500
Be: 0.000 0.000 0.000

electronic total energy = -56.643 eV per cell
raw formation energy = -1.192 eV per atom
DOS at the Fermi energy = 0.508 states/eV/atom
SG = R-3m, No. 166
crystal system = trigonal

12.
Density functional theory data (SCAN) for a PBEsol-optimized structure of CeCd2.

a = 3.150 Å, b = 5.046 Å, c = 5.046 Å
α = 120.00°, β = 90.00°, γ = 90.00°
Sites, in units of the cell vectors:
Cd: 0.000 0.667 0.333
Ce: 0.500 0.000 0.000
Cd: 0.000 0.333 0.667

calculated formation energy = -0.37 eV/atom
electronic total energy = -106.488 eV per cell
DOS at the Fermi energy = 0.874 states/eV/atom
SG = P6/mmm, No. 191
crystal system = hexagonal